(1)
{"formula": "NiPbCl2", "functional": "meta-GGA SCAN", "state": "PBEsol geometry", "e_form_raw_ev_per_atom": -0.305, "e_tot_ha_per_atom": -1.00261, "e_above_lowest_polymorph_mev_per_atom": 314, "cell": [[3.454, 0.078, 0.000], [-1.113, 3.271, 0.000], [0.000, 0.000, 7.627]], "species": ["Pb", "Ni", "Cl", "Cl"], "fractional_positions": [[0.500, 0.500, 0.271], [0.000, 0.000, 0.558], [0.000, 0.000, 0.017], [0.500, 0.500, 0.655]]}

---

(2)
{"formula": "Pb2SI", "functional": "meta-GGA SCAN", "state": "PBEsol geometry", "e_form_raw_ev_per_atom": -0.121, "e_tot_ha_per_atom": -1.82290, "cell": [[-0.485, 1.360, -5.139], [-0.435, -3.790, -3.734], [-4.644, -0.736, -2.528]], "species": ["Pb", "Pb", "I", "S"], "fractional_positions": [[0.250, 0.250, 0.250], [0.750, 0.750, 0.750], [0.500, 0.500, 0.500], [0.000, 0.000, 0.000]]}

---

(3)
{"formula": "Mg3Rh", "functional": "meta-GGA SCAN", "state": "PBEsol geometry", "e_tot_ha_per_atom": -0.46319, "ef_ev_per_atom": -0.431, "cell": [[7.864, 0.000, 0.000], [-3.932, 6.810, 0.000], [0.000, 0.000, 8.210]], "species": ["Mg", "Mg", "Mg", "Mg", "Mg", "Mg", "Mg", "Mg", "Mg", "Mg", "Mg", "Mg", "Mg", "Mg", "Mg", "Mg", "Mg", "Mg", "Rh", "Rh", "Rh", "Rh", "Rh", "Rh"], "fractional_positions": [[0.000, 0.000, 0.684], [0.000, 0.000, 0.184], [0.333, 0.667, 0.798], [0.667, 0.333, 0.298], [0.333, 0.667, 0.298], [0.667, 0.333, 0.798], [0.715, 0.715, 0.422], [0.000, 0.285, 0.422], [0.285, 0.000, 0.422], [0.285, 0.285, 0.922], [0.000, 0.715, 0.922], [0.715, 0.000, 0.922], [0.374, 0.374, 0.581], [0.000, 0.626, 0.581], [0.626, 0.000, 0.581], [0.626, 0.626, 0.081], [0.000, 0.374, 0.081], [0.374, 0.000, 0.081], [0.672, 0.672, 0.752], [0.000, 0.328, 0.752], [0.328, 0.000, 0.752], [0.328, 0.328, 0.252], [0.000, 0.672, 0.252], [0.672, 0.000, 0.252]]}

---

(4)
{"formula": "In2Co", "functional": "meta-GGA SCAN", "state": "PBEsol geometry", "e_tot_ha_per_atom": -1.01923, "ef_ev_per_atom": 0.291, "cell": [[-2.261, -1.937, 0.400], [1.845, -1.846, 1.487], [-1.195, 4.576, 4.128]], "species": ["Co", "In", "In"], "fractional_positions": [[0.000, 0.000, 0.000], [0.363, 0.363, 0.725], [0.637, 0.637, 0.275]]}

---

(5)
{"formula": "BaTa3As", "functional": "meta-GGA SCAN", "state": "PBEsol geometry", "e_tot_ha_per_atom": -1.78935, "ef_ev_per_atom": 3.208, "cell": [[5.012, 0.000, 0.000], [0.000, 5.012, 0.000], [0.000, 0.000, 5.012]], "species": ["As", "Ba", "Ta", "Ta", "Ta"], "fractional_positions": [[0.500, 0.500, 0.500], [0.000, 0.000, 0.000], [0.000, 0.500, 0.000], [0.000, 0.000, 0.500], [0.500, 0.000, 0.000]]}

---

(6)
{"formula": "TmZrCo2", "functional": "meta-GGA SCAN", "state": "PBEsol geometry", "e_tot_ha_per_atom": -1.08859, "ef_ev_per_atom": -0.337, "cell": [[-0.961, 1.755, 4.024], [-2.607, -2.266, 2.875], [1.782, -1.791, 3.716]], "species": ["Tm", "Co", "Co", "Zr"], "fractional_positions": [[0.500, 0.500, 0.500], [0.750, 0.750, 0.750], [0.250, 0.250, 0.250], [0.000, 0.000, 0.000]]}

---

(7)
{"formula": "Li4Cr3Cu2Sb3O16", "functional": "meta-GGA SCAN", "state": "PBEsol geometry", "e_form_raw_ev_per_atom": -1.833, "e_tot_ha_per_atom": -0.46977, "cell": [[5.957, -0.001, -0.465], [2.935, 5.183, -0.465], [-0.823, -0.480, 9.804]], "species": ["Li", "Li", "Li", "Li", "Cr", "Cr", "Cr", "Cu", "Cu", "Sb", "Sb", "Sb", "O", "O", "O", "O", "O", "O", "O", "O", "O", "O", "O", "O", "O", "O", "O", "O"], "fractional_positions": [[0.370, 0.370, 0.907], [0.908, 0.908, 0.975], [0.981, 0.981, 0.488], [0.672, 0.672, 0.382], [0.645, 0.155, 0.215], [0.155, 0.645, 0.215], [0.857, 0.857, 0.707], [0.346, 0.346, 0.487], [0.629, 0.629, 0.051], [0.149, 0.149, 0.208], [0.860, 0.363, 0.722], [0.363, 0.860, 0.722], [0.697, 0.168, 0.602], [0.486, 0.486, 0.311], [0.300, 0.300, 0.103], [0.001, 0.001, 0.314], [0.038, 0.038, 0.827], [0.168, 0.697, 0.602], [0.485, 0.039, 0.331], [0.039, 0.485, 0.331], [0.810, 0.810, 0.124], [0.161, 0.161, 0.606], [0.020, 0.568, 0.822], [0.568, 0.020, 0.822], [0.674, 0.674, 0.603], [0.802, 0.263, 0.098], [0.553, 0.553, 0.835], [0.263, 0.802, 0.098]]}

---

(8)
{"formula": "Fe4MoW", "functional": "meta-GGA SCAN", "state": "PBEsol geometry", "e_tot_ha_per_atom": -1.08017, "ef_ev_per_atom": 0.122, "cell": [[-1.599, 2.802, 3.331], [-2.482, -1.747, 3.507], [1.821, -0.189, 4.261]], "species": ["Fe", "Fe", "Fe", "Fe", "Mo", "W"], "fractional_positions": [[0.625, 0.625, 0.125], [0.125, 0.625, 0.625], [0.625, 0.125, 0.625], [0.625, 0.625, 0.625], [0.250, 0.250, 0.250], [0.000, 0.000, 0.000]]}

---

(9)
{"formula": "BaReAs2Br", "functional": "meta-GGA SCAN", "state": "PBEsol geometry", "e_form_raw_ev_per_atom": 1.685, "e_tot_ha_per_atom": -1.19115, "cell": [[5.853, 0.000, 0.000], [0.000, 5.753, 0.000], [0.000, 0.000, 5.753]], "species": ["Re", "As", "As", "Ba", "Br"], "fractional_positions": [[0.500, 0.500, 0.500], [0.000, 0.000, 0.500], [0.000, 0.500, 0.000], [0.000, 0.000, 0.000], [0.500, 0.000, 0.000]]}

---

(10)
{"formula": "ZrNiGe2H", "functional": "meta-GGA SCAN", "state": "PBEsol geometry", "e_tot_ha_per_atom": -0.65413, "cell": [[3.021, 0.000, 0.000], [0.000, 4.863, 0.000], [0.000, 0.000, 4.863]], "species": ["Ni", "Ge", "Ge", "Zr", "H"], "fractional_positions": [[0.000, 0.000, 0.000], [0.000, 0.000, 0.500], [0.000, 0.500, 0.000], [0.500, 0.500, 0.500], [0.500, 0.000, 0.000]]}

---

(11)
{"formula": "Sr2P", "functional": "meta-GGA SCAN", "state": "PBEsol geometry", "e_tot_ha_per_atom": -0.70937, "ef_ev_per_atom": -0.987, "cell": [[-1.229, 2.689, -3.244], [-2.620, -3.301, 1.226], [-3.286, 4.434, 4.920]], "species": ["Sr", "Sr", "P"], "fractional_positions": [[0.333, 0.667, 0.789], [0.667, 0.333, 0.211], [0.000, 0.000, 0.000]]}

---

(12)
{"formula": "Li2TaTl", "functional": "meta-GGA SCAN", "state": "PBEsol geometry", "e_tot_ha_per_atom": -1.30876, "ef_ev_per_atom": 0.317, "cell": [[-0.551, -2.665, 2.925], [2.105, -2.698, -2.062], [3.726, 1.397, 1.975]], "species": ["Li", "Li", "Ta", "Tl"], "fractional_positions": [[0.000, 0.500, 0.000], [0.500, 0.000, 0.000], [0.500, 0.500, 0.500], [0.000, 0.000, 0.500]]}

---

Short version: M_tot = 0.243 0.000 0.000 0.270 0.000 0.361 0.250 1.215 0.812 0.000 0.031 0.000 μB per atom, in the order given.
Short version: calculated density = 6.44 8.85 3.98 8.99 9.96 9.78 5.16 11.85 4.74 6.88 2.78 9.35 g/cm3, in the order given.